# meta-GGA SCAN CdCoTc, single point on PBEsol structure
# M_tot	0.017	μB/cell
# electronic total energy	-0.99084	Ha/atom
# calculated formation energy	0.631	eV/atom
# density of states at the Fermi level	1.096	states/eV/atom
# mass density	10.45	Mg/m³
data_CdCoTc
_chemical_formula_sum 'Cd1 Co1 Tc1'
_cell_length_a 4.3000
_cell_length_b 4.3000
_cell_length_c 2.6741
_cell_angle_alpha 90.00
_cell_angle_beta 90.00
_cell_angle_gamma 120.00
_space_group_name_H-M_alt 'P 3 m 1'
_space_group_IT_number 156
loop_
_space_group_symop_operation_xyz
'x,y,z'
'-y,x-y,z'
'-x+y,-x,z'
'-y,-x,z'
'-x+y,y,z'
'x,x-y,z'
loop_
_atom_site_label
_atom_site_fract_x
_atom_site_fract_y
_atom_site_fract_z
Cd1 0.0000 0.0000 0.0000
Co1 0.3333 0.6667 0.5038
Tc1 0.6667 0.3333 0.4990

=====

# meta-GGA SCAN LiTiSbRu2, single point on PBEsol structure
# ΔE_f (raw)	0.772	eV/atom
# M_tot	0.000	μB/cell
# electronic total energy	-0.89279	Ha/atom
# density of states at the Fermi level	0.734	states/eV/atom
# mass density	6.97	Mg/m³
data_LiTiSbRu2
_chemical_formula_sum 'Li1 Ti1 Sb1 Ru2'
_cell_length_a 4.450
_cell_length_b 4.450
_cell_length_c 4.555
_cell_angle_alpha 90.00
_cell_angle_beta 90.00
_cell_angle_gamma 90.00
_space_group_name_H-M_alt 'P 4/m m m'
_space_group_IT_number 123
_space_group_name_Hall '-P 4 2'
loop_
_atom_site_label
_atom_site_fract_x
_atom_site_fract_y
_atom_site_fract_z
Li1 0.000 0.000 0.000
Ti1 0.000 0.000 0.500
Sb1 0.500 0.500 0.000
Ru1 0.000 0.500 0.500

=====

# meta-GGA SCAN BeAlGaFe2, single point on PBEsol structure
# M_tot	4.946	μB/cell
# electronic total energy	-0.43744	Ha/atom
# calculated formation energy	1.039	eV/atom
# density of states at the Fermi level	0.785	states/eV/atom
# mass density	4.78	Mg/m³
data_BeAlGaFe2
_chemical_formula_sum 'Be1 Al1 Ga1 Fe2'
_cell_length_a 4.274
_cell_length_b 4.274
_cell_length_c 4.136
_cell_angle_alpha 90.00
_cell_angle_beta 90.00
_cell_angle_gamma 90.00
_space_group_name_H-M_alt 'P 4/m m m'
_space_group_IT_number 123
_space_group_name_Hall '-P 4 2'
loop_
_atom_site_label
_atom_site_fract_x
_atom_site_fract_y
_atom_site_fract_z
Be1 0.000 0.000 0.000
Al1 0.000 0.000 0.500
Ga1 0.500 0.500 0.000
Fe1 0.000 0.500 0.500

=====

# meta-GGA SCAN NiHgIN2, single point on PBEsol structure
# ΔE_f (raw)	1.921	eV/atom
# M_tot	4.312	μB/cell
# electronic total energy	-0.95591	Ha/atom
# density of states at the Fermi level	0.519	states/eV/atom
# mass density	6.21	Mg/m³
data_NiHgIN2
_chemical_formula_sum 'Ni1 Hg1 I1 N2'
_cell_length_a 4.058
_cell_length_b 4.058
_cell_length_c 6.719
_cell_angle_alpha 90.00
_cell_angle_beta 90.00
_cell_angle_gamma 90.00
_space_group_name_H-M_alt 'P 4/m m m'
_space_group_IT_number 123
_space_group_name_Hall '-P 4 2'
loop_
_atom_site_label
_atom_site_fract_x
_atom_site_fract_y
_atom_site_fract_z
Ni1 0.000 0.000 0.000
Hg1 0.500 0.500 0.500
I1 0.500 0.500 0.000
N1 0.000 0.500 0.500

=====

# meta-GGA SCAN P3OsBr, single point on PBEsol structure
# ΔE_f (raw)	0.706	eV/atom
# M_tot	0.001	μB/cell
# electronic total energy	-0.87467	Ha/atom
# density of states at the Fermi level	1.037	states/eV/atom
# mass density	6.22	Mg/m³
data_P3OsBr
_chemical_formula_sum 'P3 Os1 Br1'
_cell_length_a 4.592
_cell_length_b 4.592
_cell_length_c 4.592
_cell_angle_alpha 90.00
_cell_angle_beta 90.00
_cell_angle_gamma 90.00
_space_group_name_H-M_alt 'P m -3 m'
_space_group_IT_number 221
_space_group_name_Hall '-P 4 2 3'
loop_
_atom_site_label
_atom_site_fract_x
_atom_site_fract_y
_atom_site_fract_z
P1 0.000 0.000 0.500
Os1 0.000 0.000 0.000
Br1 0.500 0.500 0.500

=====

# meta-GGA SCAN Sc2TcH, single point on PBEsol structure
# M_tot	0.001	μB/cell
# electronic total energy	-0.60641	Ha/atom
# density of states at the Fermi level	1.187	states/eV/atom
# mass density	5.49	Mg/m³
data_Sc2TcH
_chemical_formula_sum 'Sc6 Tc3 H3'
_cell_length_a 2.9378
_cell_length_b 2.9378
_cell_length_c 22.9214
_cell_angle_alpha 90.00
_cell_angle_beta 90.00
_cell_angle_gamma 120.00
_space_group_name_H-M_alt 'R -3 m'
_space_group_IT_number 166
_space_group_name_Hall '-R 3 2"'
loop_
_atom_site_label
_atom_site_fract_x
_atom_site_fract_y
_atom_site_fract_z
Sc1 0.0000 0.0000 0.1083
Tc1 0.0000 0.0000 0.0000
H1 0.0000 0.0000 0.5000

=====

# meta-GGA SCAN In, single point on PBEsol structure
# M_tot	0.000	μB/cell
# electronic total energy	-1.22418	Ha/atom
# calculated formation energy	0.075	eV/atom
# density of states at the Fermi level	0.508	states/eV/atom
# mass density	7.24	Mg/m³
data_In
_chemical_formula_sum 'In4'
_cell_length_a 5.847
_cell_length_b 5.847
_cell_length_c 3.083
_cell_angle_alpha 90.00
_cell_angle_beta 90.00
_cell_angle_gamma 90.00
_space_group_name_H-M_alt 'I 41/a m d'
_space_group_IT_number 141
loop_
_space_group_symop_operation_xyz
'x,y,z'
'-x,-y,-z'
'-y+1/4,x+3/4,z+1/4'
'y+1/4,-x+3/4,-z+1/4'
'-x+1/2,-y,z+1/2'
'x+1/2,y,-z+1/2'
'y+1/4,-x+1/4,z+3/4'
'-y+1/4,x+1/4,-z+3/4'
'x,-y,-z'
'-x,y,z'
'-y+1/4,-x+1/4,-z+3/4'
'y+1/4,x+1/4,z+3/4'
'-x+1/2,y,-z+1/2'
'x+1/2,-y,z+1/2'
'y+1/4,x+3/4,-z+1/4'
'-y+1/4,-x+3/4,z+1/4'
'x+1/2,y+1/2,z+1/2'
'-x+1/2,-y+1/2,-z+1/2'
'-y+3/4,x+1/4,z+3/4'
'y+3/4,-x+1/4,-z+3/4'
'-x,-y+1/2,z'
'x,y+1/2,-z'
'y+3/4,-x+3/4,z+1/4'
'-y+3/4,x+3/4,-z+1/4'
'x+1/2,-y+1/2,-z+1/2'
'-x+1/2,y+1/2,z+1/2'
'-y+3/4,-x+3/4,-z+1/4'
'y+3/4,x+3/4,z+1/4'
'-x,y+1/2,-z'
'x,-y+1/2,z'
'y+3/4,x+1/4,-z+3/4'
'-y+3/4,-x+1/4,z+3/4'
loop_
_atom_site_label
_atom_site_fract_x
_atom_site_fract_y
_atom_site_fract_z
In1 0.000 0.250 0.375

=====

# meta-GGA SCAN MnAlNi6, single point on PBEsol structure
# M_tot	50.189	μB/cell
# electronic total energy	-0.57872	Ha/atom
# calculated formation energy	-0.367	eV/atom
# density of states at the Fermi level	0.512	states/eV/atom
# mass density	8.37	Mg/m³
data_MnAlNi6
_chemical_formula_sum 'Mn8 Al8 Ni48'
_cell_length_a 7.010
_cell_length_b 9.914
_cell_length_c 9.910
_cell_angle_alpha 90.00
_cell_angle_beta 90.00
_cell_angle_gamma 90.00
_space_group_name_H-M_alt 'C m m m'
_space_group_IT_number 65
_space_group_name_Hall '-C 2 2'
loop_
_atom_site_label
_atom_site_fract_x
_atom_site_fract_y
_atom_site_fract_z
Mn1 0.000 0.000 0.250
Mn2 0.000 0.250 0.000
Al1 0.000 0.250 0.500
Al2 0.000 0.500 0.250
Ni1 0.000 0.000 0.000
Ni2 0.000 0.000 0.500
Ni3 0.000 0.249 0.249
Ni4 0.000 0.500 0.000
Ni5 0.000 0.500 0.500
Ni6 0.249 0.125 0.125
Ni7 0.249 0.125 0.374

=====

# meta-GGA SCAN YTc2Pb, single point on PBEsol structure
# M_tot	2.348	μB/cell
# electronic total energy	-1.58461	Ha/atom
# calculated formation energy	0.317	eV/atom
# density of states at the Fermi level	0.762	states/eV/atom
# mass density	10.99	Mg/m³
data_YTc2Pb
_chemical_formula_sum 'Y2 Tc4 Pb2'
_cell_length_a 4.122
_cell_length_b 4.122
_cell_length_c 8.755
_cell_angle_alpha 90.00
_cell_angle_beta 90.00
_cell_angle_gamma 90.00
_space_group_name_H-M_alt 'I -4 m 2'
_space_group_IT_number 119
_space_group_name_Hall 'I -4 -2'
loop_
_atom_site_label
_atom_site_fract_x
_atom_site_fract_y
_atom_site_fract_z
Y1 0.000 0.000 0.000
Tc1 0.000 0.000 0.500
Tc2 0.000 0.500 0.750
Pb1 0.000 0.500 0.250

=====

# meta-GGA SCAN Ag2WCl, single point on PBEsol structure
# ΔE_f (raw)	0.554	eV/atom
# M_tot	0.000	μB/cell
# electronic total energy	-1.26954	Ha/atom
# density of states at the Fermi level	0.331	states/eV/atom
# mass density	10.95	Mg/m³
data_Ag2WCl
_chemical_formula_sum 'Ag4 W2 Cl2'
_cell_length_a 4.224
_cell_length_b 2.795
_cell_length_c 11.174
_cell_angle_alpha 90.00
_cell_angle_beta 90.00
_cell_angle_gamma 90.00
_space_group_name_H-M_alt 'A m m 2'
_space_group_IT_number 38
loop_
_space_group_symop_operation_xyz
'x,y,z'
'-x,-y,z'
'-x,y,z'
'x,-y,z'
'x,y+1/2,z+1/2'
'-x,-y+1/2,z+1/2'
'-x,y+1/2,z+1/2'
'x,-y+1/2,z+1/2'
loop_
_atom_site_label
_atom_site_fract_x
_atom_site_fract_y
_atom_site_fract_z
Ag1 0.000 0.000 0.000
Ag2 0.500 0.000 0.381
W1 0.500 0.000 0.639
Cl1 0.000 0.000 0.732

=====

# meta-GGA SCAN TaGa3S, single point on PBEsol structure
# ΔE_f (raw)	0.949	eV/atom
# M_tot	2.436	μB/cell
# electronic total energy	-0.88571	Ha/atom
# density of states at the Fermi level	1.382	states/eV/atom
# mass density	5.54	Mg/m³
data_TaGa3S
_chemical_formula_sum 'Ta1 Ga3 S1'
_cell_length_a 5.019
_cell_length_b 5.019
_cell_length_c 5.019
_cell_angle_alpha 90.00
_cell_angle_beta 90.00
_cell_angle_gamma 90.00
_space_group_name_H-M_alt 'P m -3 m'
_space_group_IT_number 221
_space_group_name_Hall '-P 4 2 3'
loop_
_atom_site_label
_atom_site_fract_x
_atom_site_fract_y
_atom_site_fract_z
Ta1 0.000 0.000 0.000
Ga1 0.000 0.000 0.500
S1 0.500 0.500 0.500

=====

# meta-GGA SCAN Tc2IrBr, single point on PBEsol structure
# ΔE_f (raw)	1.097	eV/atom
# M_tot	0.000	μB/cell
# electronic total energy	-1.43589	Ha/atom
# density of states at the Fermi level	0.885	states/eV/atom
# mass density	13.05	Mg/m³
data_Tc2IrBr
_chemical_formula_sum 'Tc4 Ir2 Br2'
_cell_length_a 3.995
_cell_length_b 3.995
_cell_length_c 7.466
_cell_angle_alpha 90.00
_cell_angle_beta 90.00
_cell_angle_gamma 90.00
_space_group_name_H-M_alt 'I -4 m 2'
_space_group_IT_number 119
_space_group_name_Hall 'I -4 -2'
loop_
_atom_site_label
_atom_site_fract_x
_atom_site_fract_y
_atom_site_fract_z
Tc1 0.000 0.000 0.000
Tc2 0.000 0.500 0.250
Ir1 0.000 0.500 0.750
Br1 0.000 0.000 0.500

=====

# meta-GGA SCAN Y3Os, single point on PBEsol structure
# M_tot	0.000	μB/cell
# electronic total energy	-1.42465	Ha/atom
# calculated formation energy	0.085	eV/atom
# density of states at the Fermi level	0.691	states/eV/atom
# mass density	7.72	Mg/m³
data_Y3Os
_chemical_formula_sum 'Y3 Os1'
_cell_length_a 4.362
_cell_length_b 4.362
_cell_length_c 5.167
_cell_angle_alpha 90.00
_cell_angle_beta 90.00
_cell_angle_gamma 90.00
_space_group_name_H-M_alt 'P 4 m m'
_space_group_IT_number 99
loop_
_space_group_symop_operation_xyz
'x,y,z'
'-y,x,z'
'-x,-y,z'
'y,-x,z'
'-x,y,z'
'y,x,z'
'x,-y,z'
'-y,-x,z'
loop_
_atom_site_label
_atom_site_fract_x
_atom_site_fract_y
_atom_site_fract_z
Y1 0.000 0.000 0.000
Y2 0.000 0.500 0.478
Os1 0.500 0.500 0.099

=====

# meta-GGA SCAN Ir3Se, single point on PBEsol structure
# ΔE_f (raw)	0.445	eV/atom
# M_tot	0.000	μB/cell
# electronic total energy	-2.12774	Ha/atom
# density of states at the Fermi level	0.503	states/eV/atom
# mass density	17.81	Mg/m³
data_Ir3Se
_chemical_formula_sum 'Ir12 Se4'
_cell_length_a 6.924
_cell_length_b 7.930
_cell_length_c 4.454
_cell_angle_alpha 90.00
_cell_angle_beta 90.00
_cell_angle_gamma 90.00
_space_group_name_H-M_alt 'C m c m'
_space_group_IT_number 63
_space_group_name_Hall '-C 2c 2'
loop_
_atom_site_label
_atom_site_fract_x
_atom_site_fract_y
_atom_site_fract_z
Ir1 0.000 0.215 0.250
Ir2 0.196 0.083 0.750
Se1 0.000 0.356 0.750

=====

# meta-GGA SCAN W3O8, single point on PBEsol structure
# ΔE_f (raw)	-2.146	eV/atom
# M_tot	1.544	μB/cell
# electronic total energy	-0.94385	Ha/atom
# density of states at the Fermi level	0.345	states/eV/atom
# mass density	8.95	Mg/m³
data_W3O8
_chemical_formula_sum 'W6 O16'
_cell_length_a 6.445
_cell_length_b 10.320
_cell_length_c 3.791
_cell_angle_alpha 90.00
_cell_angle_beta 90.00
_cell_angle_gamma 90.00
_space_group_name_H-M_alt 'C m m m'
_space_group_IT_number 65
_space_group_name_Hall '-C 2 2'
loop_
_atom_site_label
_atom_site_fract_x
_atom_site_fract_y
_atom_site_fract_z
W1 0.000 0.000 0.000
W2 0.000 0.315 0.000
O1 0.000 0.000 0.500
O2 0.000 0.310 0.500
O3 0.000 0.500 0.000
O4 0.188 0.148 0.000

=====

# meta-GGA SCAN Mg2Bi, single point on PBEsol structure
# M_tot	0.013	μB/cell
# electronic total energy	-1.09189	Ha/atom
# calculated formation energy	-0.203	eV/atom
# density of states at the Fermi level	0.301	states/eV/atom
# mass density	5.72	Mg/m³
data_Mg2Bi
_chemical_formula_sum 'Mg8 Bi4'
_cell_length_a 6.304
_cell_length_b 6.296
_cell_length_c 8.018
_cell_angle_alpha 90.00
_cell_angle_beta 109.87
_cell_angle_gamma 90.00
_space_group_name_H-M_alt 'C 1 2/m 1'
_space_group_IT_number 12
loop_
_space_group_symop_operation_xyz
'x,y,z'
'-x,-y,-z'
'-x,y,-z'
'x,-y,z'
'x+1/2,y+1/2,z'
'-x+1/2,-y+1/2,-z'
'-x+1/2,y+1/2,-z'
'x+1/2,-y+1/2,z'
loop_
_atom_site_label
_atom_site_fract_x
_atom_site_fract_y
_atom_site_fract_z
Mg1 0.137 0.000 0.313
Mg2 0.250 0.250 0.000
Bi1 0.131 0.500 0.291

=====

# meta-GGA SCAN FeReRu3, single point on PBEsol structure
# M_tot	3.310	μB/cell
# electronic total energy	-1.35784	Ha/atom
# calculated formation energy	1.792	eV/atom
# density of states at the Fermi level	1.195	states/eV/atom
# mass density	11.88	Mg/m³
data_FeReRu3
_chemical_formula_sum 'Fe1 Re1 Ru3'
_cell_length_a 4.239
_cell_length_b 4.239
_cell_length_c 4.239
_cell_angle_alpha 90.00
_cell_angle_beta 90.00
_cell_angle_gamma 90.00
_space_group_name_H-M_alt 'P m -3 m'
_space_group_IT_number 221
_space_group_name_Hall '-P 4 2 3'
loop_
_atom_site_label
_atom_site_fract_x
_atom_site_fract_y
_atom_site_fract_z
Fe1 0.000 0.000 0.000
Re1 0.500 0.500 0.500
Ru1 0.000 0.000 0.500

=====

# meta-GGA SCAN FeI3O9, single point on PBEsol structure
# ΔE_f (raw)	-0.529	eV/atom
# M_tot	2.000	μB/cell
# electronic total energy	-0.54082	Ha/atom
# density of states at the Fermi level	0.337	states/eV/atom
# mass density	5.59	Mg/m³
data_FeI3O9
_chemical_formula_sum 'Fe2 I6 O18'
_cell_length_a 8.7796
_cell_length_b 8.7796
_cell_length_c 5.1703
_cell_angle_alpha 90.00
_cell_angle_beta 90.00
_cell_angle_gamma 120.00
_space_group_name_H-M_alt 'P 63'
_space_group_IT_number 173
loop_
_space_group_symop_operation_xyz
'x,y,z'
'x-y,x,z+1/2'
'-y,x-y,z'
'-x,-y,z+1/2'
'-x+y,-x,z'
'y,-x+y,z+1/2'
loop_
_atom_site_label
_atom_site_fract_x
_atom_site_fract_y
_atom_site_fract_z
Fe1 0.3333 0.6667 0.0000
I1 0.0261 0.6888 0.6221
O1 0.0543 0.8357 0.8887
O2 0.1263 0.5653 0.7981
O3 0.2000 0.4800 0.2283

=====

# meta-GGA SCAN FeIr2, single point on PBEsol structure
# M_tot	12.183	μB/cell
# electronic total energy	-1.96824	Ha/atom
# calculated formation energy	-0.116	eV/atom
# density of states at the Fermi level	0.816	states/eV/atom
# mass density	18.69	Mg/m³
data_FeIr2
_chemical_formula_sum 'Fe4 Ir8'
_cell_length_a 5.280
_cell_length_b 3.751
_cell_length_c 7.899
_cell_angle_alpha 90.00
_cell_angle_beta 90.00
_cell_angle_gamma 90.00
_space_group_name_H-M_alt 'P n m a'
_space_group_IT_number 62
loop_
_space_group_symop_operation_xyz
'x,y,z'
'-x,-y,-z'
'-x+1/2,-y,z+1/2'
'x+1/2,y,-z+1/2'
'x+1/2,-y+1/2,-z+1/2'
'-x+1/2,y+1/2,z+1/2'
'-x,y+1/2,-z'
'x,-y+1/2,z'
loop_
_atom_site_label
_atom_site_fract_x
_atom_site_fract_y
_atom_site_fract_z
Fe1 0.127 0.250 0.085
Ir1 0.116 0.250 0.755
Ir2 0.137 0.250 0.420

=====

# meta-GGA SCAN TaTl3Cr, single point on PBEsol structure
# M_tot	4.266	μB/cell
# electronic total energy	-2.18579	Ha/atom
# calculated formation energy	0.930	eV/atom
# density of states at the Fermi level	0.547	states/eV/atom
# mass density	9.14	Mg/m³
data_TaTl3Cr
_chemical_formula_sum 'Ta1 Tl3 Cr1'
_cell_length_a 5.357
_cell_length_b 5.357
_cell_length_c 5.357
_cell_angle_alpha 90.00
_cell_angle_beta 90.00
_cell_angle_gamma 90.00
_space_group_name_H-M_alt 'P m -3 m'
_space_group_IT_number 221
_space_group_name_Hall '-P 4 2 3'
loop_
_atom_site_label
_atom_site_fract_x
_atom_site_fract_y
_atom_site_fract_z
Ta1 0.000 0.000 0.000
Tl1 0.000 0.000 0.500
Cr1 0.500 0.500 0.500